1.
# LiLa2SiAs

A relaxed LiLa2SiAs crystal (PBE, the Alexandria database).

raw formation energy = -117 meV/atom

Cell lengths 5.750, 4.812, 5.750 Å; angles 90.00, 90.00, 90.00 degrees
Element x y z (fractional)
As (0.000, 0.000, 0.000)
Li (0.500, 0.500, 0.500)
Si (0.000, 0.500, 0.000)
La (0.000, 0.000, 0.500)
La (0.500, 0.000, 0.000)

=====

2.
# LiLa2UAs4

A relaxed LiLa2UAs4 crystal (PBE, the Alexandria database).

energy of formation from the pure elements = -0.99 eV per atom

Cell lengths 4.264, 7.240, 7.248 Å; angles 109.10, 90.00, 90.00 degrees
Element x y z (fractional)
Li (0.500, 0.500, 0.000)
La (0.500, 0.000, 0.500)
La (0.000, 0.500, 0.500)
U (0.000, 0.000, 0.000)
As (0.500, 0.238, 0.228)
As (0.500, 0.762, 0.772)
As (0.000, 0.240, 0.772)
As (0.000, 0.760, 0.228)

=====

3.
# LaMg2As

A relaxed LaMg2As crystal (PBE, the Alexandria database).

energy of formation from the pure elements = -0.42 eV per atom

Cell lengths 4.290, 6.768, 4.286 Å; angles 71.59, 89.86, 108.43 degrees
Element x y z (fractional)
As (0.000, 0.500, 0.500)
La (0.500, 0.500, 0.000)
Mg (0.000, 0.000, 0.000)
Mg (0.500, 0.000, 0.500)

=====

We obtain E_tot values of -22.43, -49.56, -14.46 eV/cell for the records listed above, in that order.